The following is a DFT calculation (PBE) of a relaxed Na6Sr12Ca crystal.

a b c (Å): 9.813 9.813 9.813
angles (deg): 87.79 87.79 87.79
Atoms (fractional coordinates):
Sr 0.801 0.531 0.434
Sr 0.157 0.371 0.029
Sr 0.199 0.469 0.566
Sr 0.629 0.971 0.843
Sr 0.531 0.434 0.801
Sr 0.469 0.566 0.199
Sr 0.029 0.157 0.371
Sr 0.971 0.843 0.629
Sr 0.371 0.029 0.157
Sr 0.434 0.801 0.531
Sr 0.843 0.629 0.971
Sr 0.566 0.199 0.469
Ca 0.000 0.000 0.000
Na 0.264 0.108 0.736
Na 0.264 0.736 0.892
Na 0.736 0.892 0.264
Na 0.892 0.264 0.736
Na 0.736 0.264 0.108
Na 0.108 0.736 0.264

Computed properties:
distance to the lowest polymorph of the same formula: 20 meV per atom
space group: R-3, No. 148
ΔH_f (0 K): 0.064 eV per atom
magnetic moment: 0.0 μB/cell
DOS(E_F): 14.703 states/eV/f.u.
volume: 942.7 Å³ per cell

=====

The following is a DFT calculation (PBE) of a relaxed RbZnCr3 crystal.

a b c (Å): 6.113 6.113 6.113
angles (deg): 90.00 90.00 90.00
Site moments in Bohr magnetons follow the coordinates.
Atoms (fractional coordinates):
Cr 0.500 0.000 0.000  4.51
Cr 0.000 0.000 0.500  4.38
Cr 0.000 0.500 0.000  4.43
Rb 0.000 0.000 0.000  0.16
Zn 0.500 0.500 0.500  0.05

Computed properties:
distance to the lowest polymorph of the same formula: 1156 meV per atom
space group: Pm-3m, No. 221
ΔH_f (0 K): 2.395 eV per atom
magnetic moment: 17.0 μB/cell
DOS(E_F): 0.588 states/eV/f.u.
volume: 228.4 Å³ per cell

=====

The following is a DFT calculation (PBE) of a relaxed Al3Ga12Si5 crystal.

a b c (Å): 12.906 12.906 12.906
angles (deg): 109.47 109.47 109.47
Atoms (fractional coordinates):
Ga 0.128 0.730 0.557
Ga 0.827 0.929 0.057
Ga 0.872 0.602 0.929
Ga 0.398 0.270 0.327
Ga 0.429 0.057 0.327
Ga 0.230 0.557 0.628
Ga 0.943 0.372 0.270
Ga 0.571 0.628 0.398
Ga 0.102 0.173 0.230
Ga 0.628 0.057 0.230
Ga 0.327 0.557 0.429
Ga 0.929 0.102 0.872
Ga 0.071 0.898 0.128
Ga 0.898 0.071 0.628
Ga 0.429 0.372 0.602
Ga 0.372 0.429 0.102
Ga 0.270 0.872 0.943
Ga 0.398 0.128 0.571
Ga 0.173 0.071 0.943
Ga 0.443 0.770 0.872
Ga 0.898 0.827 0.770
Ga 0.057 0.628 0.730
Ga 0.770 0.443 0.372
Ga 0.327 0.770 0.398
Ga 0.602 0.872 0.429
Ga 0.230 0.673 0.102
Ga 0.673 0.443 0.571
Ga 0.770 0.327 0.898
Ga 0.929 0.827 0.557
Ga 0.602 0.730 0.673
Ga 0.071 0.173 0.443
Ga 0.057 0.429 0.827
Ga 0.557 0.327 0.929
Ga 0.943 0.571 0.173
Ga 0.372 0.943 0.770
Ga 0.730 0.128 0.057
Ga 0.557 0.230 0.128
Ga 0.730 0.602 0.173
Ga 0.872 0.270 0.443
Ga 0.173 0.102 0.730
Ga 0.628 0.571 0.898
Ga 0.128 0.398 0.071
Ga 0.827 0.898 0.270
Ga 0.571 0.943 0.673
Ga 0.102 0.929 0.372
Ga 0.270 0.398 0.827
Ga 0.673 0.230 0.602
Ga 0.443 0.673 0.071
Si 0.375 0.125 0.750
Si 0.500 0.000 0.000
Si 0.250 0.875 0.125
Si 0.750 0.625 0.375
Si 0.250 0.375 0.625
Si 0.000 0.500 0.000
Si 0.875 0.625 0.750
Si 0.625 0.750 0.875
Si 0.500 0.500 0.500
Si 0.750 0.125 0.875
Si 0.500 0.000 0.500
Si 0.000 0.000 0.500
Si 0.500 0.500 0.000
Si 0.875 0.250 0.625
Si 0.625 0.875 0.250
Si 0.125 0.750 0.375
Si 0.000 0.000 0.000
Si 0.000 0.500 0.500
Si 0.375 0.250 0.125
Si 0.125 0.375 0.250
Al 0.250 0.125 0.375
Al 0.250 0.625 0.875
Al 0.750 0.875 0.625
Al 0.125 0.875 0.750
Al 0.625 0.375 0.750
Al 0.125 0.250 0.875
Al 0.750 0.375 0.125
Al 0.875 0.750 0.125
Al 0.375 0.625 0.250
Al 0.375 0.750 0.625
Al 0.625 0.250 0.375
Al 0.875 0.125 0.250

Computed properties:
space group: Ia-3d, No. 230
magnetic moment: 0.0 μB/cell
DOS(E_F): 8.436 states/eV/f.u.
E_form (uncorrected): 3.67 eV/f.u.
volume: 1654.7 Å³ per cell

=====

The following is a DFT calculation (PBE) of a relaxed DySiPt crystal.

a b c (Å): 4.295 7.445 11.407
angles (deg): 109.05 100.85 90.00
Atoms (fractional coordinates):
Si 0.062 0.217 0.124
Si 0.228 0.064 0.457
Si 0.938 0.093 0.876
Si 0.772 0.607 0.543
Si 0.402 0.558 0.804
Si 0.598 0.754 0.196
Pt 0.896 0.726 0.792
Pt 0.265 0.428 0.530
Pt 0.735 0.899 0.470
Pt 0.572 0.398 0.144
Pt 0.428 0.254 0.856
Pt 0.104 0.933 0.208
Dy 0.000 0.539 0.000
Dy 0.334 0.877 0.668
Dy 0.169 0.620 0.337
Dy 0.831 0.283 0.663
Dy 0.500 0.948 0.000
Dy 0.666 0.209 0.332

Computed properties:
space group: Imm2, No. 44
magnetic moment: 0.0 μB/cell
DOS(E_F): 0.999 states/eV/f.u.
E_form (uncorrected): -3.63 eV/f.u.
volume: 337.9 Å³ per cell

=====

The following is a DFT calculation (PBE) of a relaxed Sr2InHRh crystal.

a b c (Å): 5.564 5.564 3.711
angles (deg): 90.00 90.00 90.00
Atoms (fractional coordinates):
H 0.000 0.000 0.000
Rh 0.000 0.000 0.500
In 0.500 0.500 0.500
Sr 0.500 0.000 0.000
Sr 0.000 0.500 0.000

Computed properties:
uncorrected energy: -18.4 eV/cell
space group: P4/mmm, No. 123
magnetic moment: 0.0 μB/cell
DOS(E_F): 2.581 states/eV/f.u.
volume: 114.9 Å³ per cell

=====

The following is a DFT calculation (PBE) of a relaxed Cr2SiAg crystal.

a b c (Å): 2.918 2.964 6.924
angles (deg): 77.45 90.00 90.00
Site moments in Bohr magnetons follow the coordinates.
Atoms (fractional coordinates):
Si 0.000 0.714 0.443  0.01
Ag 0.500 0.557 0.765  0.04
Cr 0.000 0.912 0.052  2.20
Cr 0.500 0.317 0.240  -1.35

Computed properties:
space group: Pm, No. 6
magnetic moment: 1.0 μB/cell
DOS(E_F): 1.122 states/eV/f.u.
E_form (uncorrected): 0.72 eV/f.u.
volume: 58.5 Å³ per cell